(1)
Density functional theory data (PBE+U) for a relaxed structure of KMnCrO6.

Cell lengths 6.0523, 5.0611, 5.3553 Å; angles 89.76, 92.59, 65.05 degrees
Atoms (fractional coordinates):
O1 0.6376 0.4235 0.6764
O2 0.3623 0.5679 0.3238
O3 0.3624 0.0726 0.3237
O4 0.1898 0.4050 0.7457
O5 0.8142 0.5923 0.2485
O6 0.6384 0.9366 0.6758
Mn1 0.4141 0.2931 0.5654
K1 0.9910 0.0040 0.0096
Cr1 0.5901 0.7050 0.4310

Calculated values
* electronic total energy: -6.263 eV per atom
* theoretical density: 2.706 g/cm3
* spin magnetization: 1.99 μB per formula unit

=====

(2)
Density functional theory data (PBE+U) for a relaxed structure of K2Mn2CrO6.

Cell lengths 5.2986, 5.2986, 6.4132 Å; angles 97.27, 97.27, 121.42 degrees
Atoms (fractional coordinates):
Cr1 0.0000 0.0000 0.5000
K1 0.8358 0.1642 0.0000
K2 0.1642 0.8358 0.0000
O1 0.6055 0.9385 0.3368
O2 0.9385 0.6055 0.3368
O3 0.0615 0.3945 0.6632
O4 0.3945 0.0615 0.6632
O5 0.7214 0.7214 0.6678
O6 0.2786 0.2786 0.3322
Mn1 0.6653 0.3347 0.5000
Mn2 0.3347 0.6653 0.5000

Calculated values
* electronic total energy: -6.598 eV per atom
* theoretical density: 3.760 g/cm3
* spin magnetization: 10.00 μB per formula unit

=====

(3)
Density functional theory data (PBE+U) for a relaxed structure of KMn2Cr2O10.

Cell lengths 5.6271, 5.6271, 8.4269 Å; angles 71.38, 71.38, 65.25 degrees
Atoms (fractional coordinates):
Mn1 0.0000 0.5000 0.0000
Mn2 0.5000 0.0000 0.0000
O1 0.6816 0.6816 0.9248
O2 0.7277 0.1764 0.7888
O3 0.1733 0.1733 0.5437
O4 0.3184 0.3184 0.0752
O5 0.1764 0.7277 0.7888
O6 0.2723 0.8236 0.2112
O7 0.8262 0.8262 0.1332
O8 0.8267 0.8267 0.4563
O9 0.8236 0.2723 0.2112
O10 0.1738 0.1738 0.8668
Cr1 0.9360 0.9360 0.2554
Cr2 0.0640 0.0640 0.7446
K1 0.5000 0.5000 0.5000

Calculated values
* electronic total energy: -6.701 eV per atom
* theoretical density: 3.058 g/cm3
* spin magnetization: 7.00 μB per formula unit

=====

(4)
Density functional theory data (PBE+U) for a relaxed structure of K2MnCr2O6.

Cell lengths 5.2258, 5.2258, 6.4384 Å; angles 97.91, 97.91, 119.88 degrees
Atoms (fractional coordinates):
O1 0.2667 0.2667 0.3359
O2 0.3794 0.0542 0.6640
O3 0.0542 0.3794 0.6640
O4 0.7333 0.7333 0.6641
O5 0.6206 0.9458 0.3360
O6 0.9458 0.6206 0.3360
Cr1 0.3341 0.6659 0.5000
Cr2 0.6659 0.3341 0.5000
K1 0.8321 0.1679 0.0000
K2 0.1679 0.8321 0.0000
Mn1 0.0000 0.0000 0.5000

Calculated values
* electronic total energy: -6.729 eV per atom
* theoretical density: 3.774 g/cm3
* spin magnetization: 9.00 μB per formula unit

=====

(5)
Density functional theory data (PBE+U) for a relaxed structure of K3MnCrO8.

Cell lengths 7.9684, 7.9684, 7.9684 Å; angles 43.51, 43.51, 43.51 degrees
Atoms (fractional coordinates):
K1 0.7005 0.7005 0.7005
K2 0.5085 0.5085 0.5085
K3 0.2940 0.2940 0.2940
O1 0.7816 0.7816 0.2423
O2 0.7816 0.2423 0.7816
O3 0.1688 0.1688 0.1688
O4 0.2423 0.7816 0.7816
O5 0.7699 0.2191 0.2191
O6 0.8318 0.8318 0.8318
O7 0.2191 0.2191 0.7699
O8 0.2191 0.7699 0.2191
Mn1 0.0942 0.0942 0.0942
Cr1 0.9087 0.9087 0.9087

Calculated values
* electronic total energy: -5.821 eV per atom
* theoretical density: 2.688 g/cm3
* spin magnetization: 0.12 μB per formula unit

=====

(6)
Density functional theory data (PBE+U) for a relaxed structure of KMnCrO4.

Cell lengths 5.2357, 5.9140, 8.0378 Å; angles 90.00, 116.09, 90.00 degrees
Atoms (fractional coordinates):
O1 0.9407 0.5269 0.3113
O2 0.4647 0.7500 0.5080
O3 0.0593 0.0269 0.6887
O4 0.9407 0.9731 0.3113
O5 0.5353 0.2500 0.4920
O6 0.2007 0.7500 0.1049
O7 0.7993 0.2500 0.8951
O8 0.0593 0.4731 0.6887
Cr1 0.8354 0.2500 0.6997
Cr2 0.1646 0.7500 0.3003
Mn1 0.8575 0.7500 0.5110
Mn2 0.1425 0.2500 0.4890
K1 0.4357 0.2500 0.1163
K2 0.5643 0.7500 0.8837

Calculated values
* electronic total energy: -6.675 eV per atom
* theoretical density: 3.121 g/cm3
* spin magnetization: 6.00 μB per formula unit

=====

(7)
Density functional theory data (PBE+U) for a relaxed structure of K2MnCrO4.

Cell lengths 5.4960, 7.0440, 9.7996 Å; angles 83.72, 73.71, 67.04 degrees
Atoms (fractional coordinates):
K1 0.8157 0.0000 0.3687
K2 0.9343 0.5000 0.1313
K3 0.1843 0.0000 0.6313
K4 0.5657 0.5000 0.8687
O1 0.5749 0.3060 0.5484
O2 0.1190 0.3060 0.4516
O3 0.3206 0.8060 0.0484
O4 0.8734 0.8060 0.9516
O5 0.6310 0.1940 0.0484
O6 0.4294 0.6940 0.4516
O7 0.1751 0.1940 0.9516
O8 0.8766 0.6940 0.5484
Mn1 0.0000 0.0000 0.0000
Mn2 0.7500 0.5000 0.5000
Cr1 0.2500 0.5000 0.5000
Cr2 0.5000 0.0000 0.0000

Calculated values
* electronic total energy: -6.053 eV per atom
* theoretical density: 2.468 g/cm3
* spin magnetization: 7.00 μB per formula unit